Here is a geometry-optimized Ac12HgPt6 structure from Alexandria. Energies are from GGA-PBE.

abc: 9.4795 9.4795 9.4795
angles: 109.47 109.47 109.47
Atoms (fractional coordinates):
Ac  0.3093  0.1308  0.8215
Ac  0.3093  0.4879  0.1785
Ac  0.6907  0.5121  0.8215
Ac  0.6907  0.8692  0.1785
Ac  0.1308  0.8215  0.3093
Ac  0.4879  0.1785  0.3093
Ac  0.5121  0.8215  0.6907
Ac  0.8692  0.1785  0.6907
Ac  0.8215  0.3093  0.1308
Ac  0.1785  0.3093  0.4879
Ac  0.8215  0.6907  0.5121
Ac  0.1785  0.6907  0.8692
Hg  0.0000  0.0000  0.0000
Pt  0.3679  0.5000  0.8679
Pt  0.6321  0.5000  0.1321
Pt  0.5000  0.8679  0.3679
Pt  0.5000  0.1321  0.6321
Pt  0.8679  0.3679  0.5000
Pt  0.1321  0.6321  0.5000

Computed properties:
* DOS at the Fermi energy: 16.5 states/eV per cell
* energy relative to the elements: -0.77 eV per atom